Compound: ReTeW
Source: Alexandria via LeMat-Bulk
Functional: GGA-PBE
Structure: optimized geometry

Lattice parameters (Å, degrees): 4.4956 4.4956 2.9926 90.00 90.00 120.00
With the nearest neighbours (Å) after each atom.
Positions (direct):
Re: 0.0000 0.0000 0.0000  3 Te 2.60
Te: 0.6667 0.3333 0.0000  3 Re 2.60
W: 0.3333 0.6667 0.5000  2 W 2.99, 6 Re 3.00, 6 Te 3.00

Values from the calculation:
* space-group type: P-6m2
* formation energy (no corrections): 0.79 eV/atom
* ΔE to the lowest computed polymorph: 219 meV per atom
* total energy: -8.73 eV per atom


Compound: CsDyErTe3
Source: Alexandria via LeMat-Bulk
Functional: GGA-PBE
Structure: optimized geometry

Lattice parameters (Å, degrees): 9.6719 4.9083 11.3041 90.00 113.85 90.00
With the nearest neighbours (Å) after each atom.
Positions (direct):
Cs: 0.0114 0.2500 0.2492  7 Te 3.90-4.21
Cs: 0.9886 0.7500 0.7508  7 Te 3.90-4.21
Dy: 0.4504 0.2500 0.1180  5 Te 3.02-3.22
Dy: 0.5496 0.7500 0.8820  5 Te 3.02-3.22
Er: 0.4979 0.2500 0.6290  5 Te 2.93-3.24
Er: 0.5021 0.7500 0.3710  5 Te 2.93-3.24
Te: 0.2370 0.7500 0.1221  1 Er 2.94, 2 Dy 3.22
Te: 0.3196 0.7500 0.5391  3 Er 2.93-3.07
Te: 0.3319 0.2500 0.8267  3 Dy 3.02-3.13, 1 Er 3.24
Te: 0.6681 0.7500 0.1733  3 Dy 3.02-3.13, 1 Er 3.24
Te: 0.6804 0.2500 0.4609  3 Er 2.93-3.07
Te: 0.7630 0.2500 0.8779  1 Er 2.94, 2 Dy 3.22

Values from the calculation:
* space-group type: P2_1/m
* formation energy (no corrections): -1.23 eV/atom
* total energy: -4.47 eV per atom


Compound: CaZr2Br
Source: Alexandria via LeMat-Bulk
Functional: GGA-PBE
Structure: optimized geometry

Lattice parameters (Å, degrees): 3.3035 3.3035 9.1631 90.00 90.00 90.00
With the nearest neighbours (Å) after each atom.
Positions (direct):
Ca: 0.0000 0.0000 0.0000  4 Ca 3.30, 8 Zr 3.62
Zr: 0.5000 0.5000 0.3019  4 Br 2.96, 4 Zr 3.30
Zr: 0.5000 0.5000 0.6981  4 Br 2.96, 4 Zr 3.30
Br: 0.0000 0.0000 0.5000  8 Zr 2.96, 4 Br 3.30

Values from the calculation:
* space-group type: P4/mmm
* formation energy (no corrections): 0.12 eV/atom
* ΔE to the lowest computed polymorph: 423 meV per atom
* total energy: -5.08 eV per atom